A relaxed structure of LaDy4Y4, computed with PBE-GGA.

a = 6.1283 Å, b = 9.7737 Å, c = 10.2631 Å
α = 104.72°, β = 96.28°, γ = 92.57°
Fractional coordinates of all 18 atoms:
La (0.1856, 0.4282, 0.2097)
La (0.8144, 0.5718, 0.7903)
Dy (0.1482, 0.7638, 0.4173)
Dy (0.2574, 0.0771, 0.9731)
Dy (0.2849, 0.4049, 0.8707)
Dy (0.3426, 0.7474, 0.7433)
Dy (0.6574, 0.2526, 0.2567)
Dy (0.7151, 0.5951, 0.1293)
Dy (0.7426, 0.9229, 0.0269)
Dy (0.8518, 0.2362, 0.5827)
Y (0.1458, 0.0788, 0.3038)
Y (0.2260, 0.7517, 0.0792)
Y (0.3207, 0.3984, 0.5399)
Y (0.3579, 0.0807, 0.6421)
Y (0.6421, 0.9193, 0.3579)
Y (0.6793, 0.6016, 0.4601)
Y (0.7740, 0.2483, 0.9208)
Y (0.8542, 0.9212, 0.6962)

Output
N(E_F): 1.696 states/eV/atom
formation energy: 0.0597 eV per atom
excess energy over the best structure of this formula in the dataset: 0.301 eV per formula unit

=====

A relaxed structure of Ho2ThH, computed with PBE-GGA.

a = 3.4407 Å, b = 3.4407 Å, c = 28.3100 Å
α = 90.00°, β = 90.00°, γ = 120.00°
Fractional coordinates of all 12 atoms:
Ho (0.0000, 0.0000, 0.1192)
Ho (0.0000, 0.0000, 0.8808)
Ho (0.3333, 0.6667, 0.5475)
Ho (0.3333, 0.6667, 0.7859)
Ho (0.6667, 0.3333, 0.2141)
Ho (0.6667, 0.3333, 0.4525)
Th (0.0000, 0.0000, 0.0000)
Th (0.3333, 0.6667, 0.6667)
Th (0.6667, 0.3333, 0.3333)
H (0.0000, 0.0000, 0.5000)
H (0.3333, 0.6667, 0.1667)
H (0.6667, 0.3333, 0.8333)

Output
N(E_F): 0.928 states/eV/atom
excess energy over the best structure of this formula in the dataset: 0.000 eV per formula unit

=====

A relaxed structure of AcDyAg2S4, computed with PBE-GGA.

a = 6.8241 Å, b = 7.0412 Å, c = 8.1384 Å
α = 90.00°, β = 90.00°, γ = 90.00°
Fractional coordinates of all 16 atoms:
Ac (0.0000, 0.0000, 0.0000)
Ac (0.5000, 0.5000, 0.5000)
Dy (0.0000, 0.0000, 0.5000)
Dy (0.5000, 0.5000, 0.0000)
Ag (0.0000, 0.5000, 0.1762)
Ag (0.0000, 0.5000, 0.8238)
Ag (0.5000, 0.0000, 0.3238)
Ag (0.5000, 0.0000, 0.6762)
S (0.2204, 0.2250, 0.3211)
S (0.2204, 0.7750, 0.6789)
S (0.2796, 0.2750, 0.8211)
S (0.2796, 0.7250, 0.1789)
S (0.7204, 0.2750, 0.1789)
S (0.7204, 0.7250, 0.8211)
S (0.7796, 0.2250, 0.6789)
S (0.7796, 0.7750, 0.3211)

Output
N(E_F): 0.003 states/eV/atom
formation energy (no corrections): -9.86 eV/f.u.

=====

A relaxed structure of Pm4Dy10Y, computed with PBE-GGA.

a = 8.9982 Å, b = 8.9982 Å, c = 8.9982 Å
α = 114.35°, β = 114.35°, γ = 100.09°
Fractional coordinates of all 15 atoms:
Pm (0.0715, 0.6730, 0.7444)
Pm (0.3270, 0.0715, 0.3985)
Pm (0.6730, 0.9285, 0.6015)
Pm (0.9285, 0.3270, 0.2556)
Dy (0.1101, 0.2203, 0.6535)
Dy (0.2203, 0.5668, 0.1102)
Dy (0.2500, 0.7500, 0.5000)
Dy (0.4332, 0.5434, 0.6535)
Dy (0.4566, 0.1101, 0.8898)
Dy (0.5434, 0.8899, 0.1102)
Dy (0.5668, 0.4566, 0.3465)
Dy (0.7500, 0.2500, 0.5000)
Dy (0.7797, 0.4332, 0.8898)
Dy (0.8899, 0.7797, 0.3465)
Y (0.5000, 0.5000, 0.0000)

Output
N(E_F): 1.471 states/eV/atom
formation energy: 0.4311 eV per atom

=====

A relaxed structure of Rb2CeO2F2, computed with PBE-GGA.

a = 4.3977 Å, b = 4.3977 Å, c = 14.7962 Å
α = 90.00°, β = 90.00°, γ = 90.00°
Fractional coordinates of all 14 atoms:
Rb (0.0000, 0.0000, 0.1483)
Rb (0.0000, 0.0000, 0.8517)
Rb (0.5000, 0.5000, 0.3517)
Rb (0.5000, 0.5000, 0.6483)
Ce (0.0000, 0.0000, 0.5000)
Ce (0.5000, 0.5000, 0.0000)
O (0.0000, 0.5000, 0.0000)
O (0.0000, 0.5000, 0.5000)
O (0.5000, 0.0000, 0.0000)
O (0.5000, 0.0000, 0.5000)
F (0.0000, 0.0000, 0.3397)
F (0.0000, 0.0000, 0.6603)
F (0.5000, 0.5000, 0.1603)
F (0.5000, 0.5000, 0.8397)

Output
N(E_F): 0.000 states/eV/atom
formation energy (no corrections): -20.62 eV/f.u.

=====

A relaxed structure of RbGeBi2, computed with PBE-GGA.

a = 8.8636 Å, b = 8.8636 Å, c = 7.5501 Å
α = 90.00°, β = 90.00°, γ = 90.00°
Fractional coordinates of all 16 atoms:
Rb (0.0000, 0.0000, 0.0000)
Rb (0.0000, 0.5000, 0.2500)
Rb (0.5000, 0.0000, 0.7500)
Rb (0.5000, 0.5000, 0.5000)
Ge (0.0000, 0.0000, 0.5000)
Ge (0.0000, 0.5000, 0.7500)
Ge (0.5000, 0.0000, 0.2500)
Ge (0.5000, 0.5000, 0.0000)
Bi (0.1665, 0.2500, 0.6250)
Bi (0.2500, 0.6665, 0.8750)
Bi (0.2500, 0.8335, 0.3750)
Bi (0.3335, 0.2500, 0.1250)
Bi (0.6665, 0.7500, 0.1250)
Bi (0.7500, 0.1665, 0.3750)
Bi (0.7500, 0.3335, 0.8750)
Bi (0.8335, 0.7500, 0.6250)

Output
N(E_F): 0.711 states/eV/atom
formation energy: 0.0040 eV per atom

=====

A relaxed structure of Y2ScUAs4, computed with PBE-GGA.

a = 7.0083 Å, b = 4.0457 Å, c = 7.0303 Å
α = 90.00°, β = 109.17°, γ = 90.00°
Fractional coordinates of all 8 atoms:
Y (0.0000, 0.0000, 0.0000)
Y (0.5000, 0.5000, 0.0000)
Sc (0.0000, 0.5000, 0.5000)
U (0.5000, 0.0000, 0.5000)
As (0.2426, 0.0000, 0.7370)
As (0.2471, 0.5000, 0.2576)
As (0.7529, 0.5000, 0.7424)
As (0.7574, 0.0000, 0.2630)

Output
N(E_F): 0.971 states/eV/atom
formation energy: -1.2897 eV per atom

=====

A relaxed structure of Sm2PuIn2Rh5, computed with PBE-GGA.

a = 10.3249 Å, b = 10.3249 Å, c = 3.7728 Å
α = 90.00°, β = 90.00°, γ = 90.00°
Fractional coordinates of all 20 atoms:
Sm (0.1680, 0.3320, 0.0000)
Sm (0.3320, 0.8320, 0.0000)
Sm (0.6680, 0.1680, 0.0000)
Sm (0.8320, 0.6680, 0.0000)
Pu (0.0000, 0.0000, 0.0000)
Pu (0.5000, 0.5000, 0.0000)
In (0.1295, 0.6295, 0.0000)
In (0.3705, 0.1295, 0.0000)
In (0.6295, 0.8705, 0.0000)
In (0.8705, 0.3705, 0.0000)
Rh (0.0000, 0.5000, 0.5000)
Rh (0.0601, 0.8038, 0.5000)
Rh (0.1962, 0.0601, 0.5000)
Rh (0.3038, 0.5601, 0.5000)
Rh (0.4399, 0.3038, 0.5000)
Rh (0.5000, 0.0000, 0.5000)
Rh (0.5601, 0.6962, 0.5000)
Rh (0.6962, 0.4399, 0.5000)
Rh (0.8038, 0.9399, 0.5000)
Rh (0.9399, 0.1962, 0.5000)

Output
N(E_F): 1.369 states/eV/atom
formation energy: -0.4717 eV per atom

=====

A relaxed structure of Ba2HfMn, computed with PBE-GGA.

a = 7.7910 Å, b = 7.7910 Å, c = 7.7910 Å
α = 90.00°, β = 90.00°, γ = 90.00°
Fractional coordinates of all 16 atoms:
Ba (0.2500, 0.2500, 0.2500)
Ba (0.2500, 0.2500, 0.7500)
Ba (0.2500, 0.7500, 0.2500)
Ba (0.2500, 0.7500, 0.7500)
Ba (0.7500, 0.2500, 0.2500)
Ba (0.7500, 0.2500, 0.7500)
Ba (0.7500, 0.7500, 0.2500)
Ba (0.7500, 0.7500, 0.7500)
Hf (0.0000, 0.0000, 0.0000)
Hf (0.0000, 0.5000, 0.5000)
Hf (0.5000, 0.0000, 0.5000)
Hf (0.5000, 0.5000, 0.0000)
Mn (0.0000, 0.0000, 0.5000)
Mn (0.0000, 0.5000, 0.0000)
Mn (0.5000, 0.0000, 0.0000)
Mn (0.5000, 0.5000, 0.5000)

Output
N(E_F): 2.129 states/eV/atom
formation energy: 1.4325 eV per atom
excess energy over the best structure of this formula in the dataset: 2.482 eV per formula unit

=====

A relaxed structure of Pr4Ho3Er2, computed with PBE-GGA.

a = 6.7112 Å, b = 6.7112 Å, c = 14.4557 Å
α = 115.21°, β = 115.21°, γ = 31.58°
Fractional coordinates of all 9 atoms:
Pr (0.2175, 0.2175, 0.1081)
Pr (0.2756, 0.2756, 0.6277)
Pr (0.7244, 0.7244, 0.3723)
Pr (0.7825, 0.7825, 0.8919)
Ho (0.4922, 0.4922, 0.1118)
Ho (0.5000, 0.5000, 0.5000)
Ho (0.5078, 0.5078, 0.8882)
Er (0.0456, 0.0456, 0.7084)
Er (0.9544, 0.9544, 0.2916)

Output
N(E_F): 1.386 states/eV/atom
formation energy: 0.0829 eV per atom
excess energy over the best structure of this formula in the dataset: 0.195 eV per formula unit

=====

A relaxed structure of ZrBe3Ir3, computed with PBE-GGA.

a = 5.9708 Å, b = 5.9708 Å, c = 5.9708 Å
α = 90.00°, β = 90.00°, γ = 90.00°
Fractional coordinates of all 14 atoms:
Zr (0.0000, 0.0000, 0.0000)
Zr (0.5000, 0.5000, 0.5000)
Be (0.0000, 0.2500, 0.5000)
Be (0.0000, 0.7500, 0.5000)
Be (0.2500, 0.5000, 0.0000)
Be (0.5000, 0.0000, 0.2500)
Be (0.5000, 0.0000, 0.7500)
Be (0.7500, 0.5000, 0.0000)
Ir (0.0000, 0.5000, 0.2500)
Ir (0.0000, 0.5000, 0.7500)
Ir (0.2500, 0.0000, 0.5000)
Ir (0.5000, 0.2500, 0.0000)
Ir (0.5000, 0.7500, 0.0000)
Ir (0.7500, 0.0000, 0.5000)

Output
N(E_F): 0.588 states/eV/atom
formation energy: 0.1810 eV per atom

=====

A relaxed structure of TmAuSe2, computed with PBE-GGA.

a = 4.4040 Å, b = 4.4040 Å, c = 21.9215 Å
α = 90.00°, β = 90.00°, γ = 120.00°
Fractional coordinates of all 12 atoms:
Tm (0.0000, 0.0000, 0.0000)
Tm (0.3333, 0.6667, 0.6667)
Tm (0.6667, 0.3333, 0.3333)
Au (0.0000, 0.0000, 0.4348)
Au (0.3333, 0.6667, 0.1015)
Au (0.6667, 0.3333, 0.7681)
Se (0.0000, 0.0000, 0.1224)
Se (0.0000, 0.0000, 0.6179)
Se (0.3333, 0.6667, 0.2845)
Se (0.3333, 0.6667, 0.7890)
Se (0.6667, 0.3333, 0.4557)
Se (0.6667, 0.3333, 0.9512)

Output
N(E_F): 0.042 states/eV/atom
formation energy (no corrections): -3.92 eV/f.u.